BaNa2Tl3 (PBE, optimized geometry); relative energy among the computed polymorphs = 0.0 meV per atom; formation energy = -192 meV per atom
1.0
5.5479 0.0000 0.0000
-2.7739 4.8046 0.0000
0.0000 0.0000 14.8722
Ba Na Tl
2 4 6
direct
0.0000 0.0000 0.2500
0.0000 0.0000 0.7500
0.3333 0.6667 0.0803
0.3333 0.6667 0.4197
0.6667 0.3333 0.5803
0.6667 0.3333 0.9197
0.0000 0.0000 0.0000
0.0000 0.0000 0.5000
0.3333 0.6667 0.6355
0.3333 0.6667 0.8645
0.6667 0.3333 0.1355
0.6667 0.3333 0.3645

---

FeCo3 (PBE, optimized geometry); formation energy = 20 meV per atom
1.0
-1.4227 1.9904 7.9641
1.4227 -1.9904 7.9641
1.4227 1.9904 -7.9641
Fe Co
2 6
direct
0.3138 0.0638 0.2500
0.6862 0.9362 0.7500
0.0604 0.8104 0.2500
0.1880 0.4380 0.7500
0.4364 0.6864 0.7500
0.5636 0.3136 0.2500
0.8120 0.5620 0.2500
0.9396 0.1896 0.7500

---

NaYZn4 (PBE, optimized geometry); formation energy = -156 meV per atom
1.0
0.0000 3.8485 3.8485
3.8485 0.0000 3.8485
3.8485 3.8485 0.0000
Na Y Zn
1 1 4
direct
0.0000 0.0000 0.0000
0.7500 0.7500 0.7500
0.3752 0.3752 0.3752
0.3752 0.3752 0.8744
0.3752 0.8744 0.3752
0.8744 0.3752 0.3752

---

BaPBr2 (PBE, optimized geometry); relative energy among the computed polymorphs = 172.7 meV per atom; energy relative to the elements, uncorrected = -2.9 eV per formula unit
1.0
2.5113 1.4499 8.7630
-2.5113 1.4499 8.7630
0.0000 -2.8998 8.7630
Ba P Br
1 1 2
direct
0.0000 0.0000 0.0000
0.5000 0.5000 0.5000
0.2757 0.2757 0.2757
0.7243 0.7243 0.7243

---

no.,E (eV per cell),total magnetization (μB per formula unit)
1,-25.6,0.00
2,-59.4,7.95
3,-13.8,0.00
4,-13.6,3.00